Entry 1:
# PBE-GGA Hg4AuCl2F, optimized geometry
data_Hg4AuCl2F
_chemical_formula_sum 'Hg16 Au4 Cl8 F4'
_cell_length_a 12.891
_cell_length_b 10.389
_cell_length_c 8.647
_cell_angle_alpha 90.00
_cell_angle_beta 131.87
_cell_angle_gamma 90.00
_symmetry_space_group_name_H-M 'C 1 2/c 1'
_symmetry_Int_Tables_number 15
loop_
_symmetry_equiv_pos_as_xyz
'x,y,z'
'-x,-y,-z'
'-x,y,-z+1/2'
'x,-y,z+1/2'
'x+1/2,y+1/2,z'
'-x+1/2,-y+1/2,-z'
'-x+1/2,y+1/2,-z+1/2'
'x+1/2,-y+1/2,z+1/2'
loop_
_atom_site_label
_atom_site_type_symbol
_atom_site_fract_x
_atom_site_fract_y
_atom_site_fract_z
Hg1 Hg 0.001 0.247 0.494
Hg2 Hg 0.194 0.478 0.443
Au1 Au 0.000 0.500 0.000
Cl1 Cl 0.000 0.000 0.000
Cl2 Cl 0.250 0.250 0.000
F1 F 0.250 0.250 0.500
# Energy   -1.66 eV per atom
# Magnetization   0.00 μB per cell

---

Entry 2:
# PBE-GGA K2AgAu2, optimized geometry
data_K2AgAu2
_chemical_formula_sum 'K4 Ag2 Au4'
_cell_length_a 4.809
_cell_length_b 4.809
_cell_length_c 13.971
_cell_angle_alpha 90.00
_cell_angle_beta 90.00
_cell_angle_gamma 90.00
_symmetry_space_group_name_H-M 'I 4/m m m'
_symmetry_Int_Tables_number 139
_symmetry_space_group_name_Hall '-I 4 2'
loop_
_atom_site_label
_atom_site_type_symbol
_atom_site_fract_x
_atom_site_fract_y
_atom_site_fract_z
K1 K 0.000 0.500 0.250
Ag1 Ag 0.000 0.000 0.000
Au1 Au 0.000 0.000 0.403
# Magnetization   0.00 μB per cell
# ΔE_f   0.23 eV per atom
# Offset from the most stable computed form   477 meV/atom